[1]
A plane-wave DFT calculation with SCAN was carried out for a PBEsol-optimized structure of LaZrNiAg2.

a = 5.1519 Å, b = 5.1519 Å, c = 4.5752 Å
α = 90.00°, β = 90.00°, γ = 90.00°
Atoms (fractional coordinates):
La 0.0000 0.0000 0.0000
Zr 0.5000 0.5000 0.5000
Ni 0.5000 0.5000 0.0000
Ag 0.0000 0.5000 0.5000
Ag 0.5000 0.0000 0.5000

## Properties
Volume = 121.4 Å³ per cell
Calculated formation energy = 0.42 eV per atom

[2]
A plane-wave DFT calculation with SCAN was carried out for a PBEsol-optimized structure of La3AgO.

a = 4.9609 Å, b = 4.9609 Å, c = 4.9609 Å
α = 90.00°, β = 90.00°, γ = 90.00°
Atoms (fractional coordinates):
La 0.0000 0.0000 0.5000
La 0.0000 0.5000 0.0000
La 0.5000 0.0000 0.0000
Ag 0.5000 0.5000 0.5000
O 0.0000 0.0000 0.0000

## Properties
Volume = 122.1 Å³ per cell
Energy relative to the elements, uncorrected = -1314 meV/atom

[3]
A plane-wave DFT calculation with SCAN was carried out for a PBEsol-optimized structure of LaAgS2O.

a = 4.4005 Å, b = 4.4005 Å, c = 6.1806 Å
α = 90.00°, β = 90.00°, γ = 90.00°
Atoms (fractional coordinates):
La 0.0000 0.0000 0.0000
Ag 0.0000 0.0000 0.5000
S 0.0000 0.5000 0.5000
S 0.5000 0.0000 0.5000
O 0.5000 0.5000 0.0000

## Properties
Volume = 119.7 Å³ per cell
Energy relative to the elements, uncorrected = -118 meV/atom

[4]
A plane-wave DFT calculation with SCAN was carried out for a PBEsol-optimized structure of LaAg3Os.

a = 5.1764 Å, b = 5.1764 Å, c = 5.1764 Å
α = 90.00°, β = 90.00°, γ = 90.00°
Atoms (fractional coordinates):
La 0.0000 0.0000 0.0000
Ag 0.0000 0.0000 0.5000
Ag 0.0000 0.5000 0.0000
Ag 0.5000 0.0000 0.0000
Os 0.5000 0.5000 0.5000

## Properties
Volume = 138.7 Å³ per cell
Calculated formation energy = 2.27 eV per atom

[5]
A plane-wave DFT calculation with SCAN was carried out for a PBEsol-optimized structure of Rb2LaAgOs.

a = 5.6176 Å, b = 5.6176 Å, c = 6.0861 Å
α = 90.00°, β = 90.00°, γ = 90.00°
Atoms (fractional coordinates):
Rb 0.0000 0.5000 0.0000
Rb 0.5000 0.0000 0.0000
La 0.0000 0.0000 0.5000
Ag 0.0000 0.0000 0.0000
Os 0.5000 0.5000 0.5000

## Properties
Volume = 192.1 Å³ per cell
Calculated formation energy = 1.51 eV per atom

[6]
A plane-wave DFT calculation with SCAN was carried out for a PBEsol-optimized structure of LaAgP2.

a = 4.3140 Å, b = 5.8102 Å, c = 6.5328 Å
α = 90.00°, β = 90.00°, γ = 90.00°
Atoms (fractional coordinates):
La 0.0000 0.0000 0.0000
La 0.5000 0.5000 0.5000
Ag 0.0000 0.0000 0.5000
Ag 0.5000 0.5000 0.0000
P 0.0000 0.5000 0.1847
P 0.0000 0.5000 0.8153
P 0.5000 0.0000 0.3153
P 0.5000 0.0000 0.6847

## Properties
Volume = 163.7 Å³ per cell
Calculated formation energy = -0.67 eV per atom

[7]
A plane-wave DFT calculation with SCAN was carried out for a PBEsol-optimized structure of La2AgP.

a = 4.1688 Å, b = 4.1688 Å, c = 22.3993 Å
α = 90.00°, β = 90.00°, γ = 120.00°
Atoms (fractional coordinates):
La 0.0000 0.0000 0.2396
La 0.0000 0.0000 0.7604
La 0.3333 0.6667 0.4270
La 0.3333 0.6667 0.9063
La 0.6667 0.3333 0.0937
La 0.6667 0.3333 0.5730
Ag 0.0000 0.0000 0.0000
Ag 0.3333 0.6667 0.6667
Ag 0.6667 0.3333 0.3333
P 0.0000 0.0000 0.5000
P 0.3333 0.6667 0.1667
P 0.6667 0.3333 0.8333

## Properties
Volume = 337.1 Å³ per cell
Calculated formation energy = -0.95 eV per atom

[8]
A plane-wave DFT calculation with SCAN was carried out for a PBEsol-optimized structure of LaAg2P.

a = 4.1557 Å, b = 4.1557 Å, c = 9.7429 Å
α = 90.00°, β = 90.00°, γ = 90.00°
Atoms (fractional coordinates):
La 0.0000 0.0000 0.0000
La 0.5000 0.5000 0.5000
Ag 0.0000 0.5000 0.2500
Ag 0.0000 0.5000 0.7500
Ag 0.5000 0.0000 0.2500
Ag 0.5000 0.0000 0.7500
P 0.0000 0.0000 0.5000
P 0.5000 0.5000 0.0000

## Properties
Volume = 168.3 Å³ per cell
Calculated formation energy = -0.41 eV per atom

[9]
A plane-wave DFT calculation with SCAN was carried out for a PBEsol-optimized structure of LaAg2P.

a = 6.8893 Å, b = 6.8893 Å, c = 6.8893 Å
α = 90.00°, β = 90.00°, γ = 90.00°
Atoms (fractional coordinates):
La 0.0000 0.0000 0.0000
La 0.0000 0.5000 0.5000
La 0.5000 0.0000 0.5000
La 0.5000 0.5000 0.0000
Ag 0.0000 0.0000 0.5000
Ag 0.0000 0.5000 0.0000
Ag 0.2500 0.2500 0.2500
Ag 0.2500 0.7500 0.7500
Ag 0.5000 0.0000 0.0000
Ag 0.5000 0.5000 0.5000
Ag 0.7500 0.2500 0.7500
Ag 0.7500 0.7500 0.2500
P 0.2500 0.2500 0.7500
P 0.2500 0.7500 0.2500
P 0.7500 0.2500 0.2500
P 0.7500 0.7500 0.7500

## Properties
Volume = 327.0 Å³ per cell
Calculated formation energy = -0.40 eV per atom

[10]
A plane-wave DFT calculation with SCAN was carried out for a PBEsol-optimized structure of La2AgPb.

a = 3.4851 Å, b = 4.2665 Å, c = 7.5459 Å
α = 90.00°, β = 90.00°, γ = 90.00°
Atoms (fractional coordinates):
La 0.0000 0.0000 0.2391
La 0.0000 0.0000 0.7609
Ag 0.5000 0.5000 0.0000
Pb 0.5000 0.5000 0.5000

## Properties
Volume = 112.2 Å³ per cell
Calculated formation energy = -0.57 eV per atom

[11]
A plane-wave DFT calculation with SCAN was carried out for a PBEsol-optimized structure of LaAgPb2.

a = 4.7816 Å, b = 4.7816 Å, c = 4.5817 Å
α = 90.00°, β = 90.00°, γ = 90.00°
Atoms (fractional coordinates):
La 0.0000 0.0000 0.0000
Ag 0.5000 0.5000 0.0000
Pb 0.0000 0.5000 0.5000
Pb 0.5000 0.0000 0.5000

## Properties
Volume = 104.8 Å³ per cell
Calculated formation energy = -0.49 eV per atom

[12]
A plane-wave DFT calculation with SCAN was carried out for a PBEsol-optimized structure of La2AgPb.

a = 4.0676 Å, b = 5.1205 Å, c = 5.3838 Å
α = 90.00°, β = 90.06°, γ = 90.00°
Atoms (fractional coordinates):
La 0.0000 0.0000 0.0000
La 0.0025 0.5000 0.5804
Ag 0.5007 0.0000 0.4768
Pb 0.5011 0.5000 0.0953

## Properties
Volume = 112.1 Å³ per cell
Calculated formation energy = -0.59 eV per atom

[13]
A plane-wave DFT calculation with SCAN was carried out for a PBEsol-optimized structure of La2AgPd2.

a = 7.6456 Å, b = 7.6456 Å, c = 3.9486 Å
α = 90.00°, β = 90.00°, γ = 90.00°
Atoms (fractional coordinates):
La 0.1742 0.3258 0.0000
La 0.3258 0.8258 0.0000
La 0.6742 0.1742 0.0000
La 0.8258 0.6742 0.0000
Ag 0.0000 0.0000 0.5000
Ag 0.5000 0.5000 0.5000
Pd 0.1296 0.6296 0.5000
Pd 0.3704 0.1296 0.5000
Pd 0.6296 0.8704 0.5000
Pd 0.8704 0.3704 0.5000

## Properties
Volume = 230.8 Å³ per cell
Calculated formation energy = -0.75 eV per atom

[14]
A plane-wave DFT calculation with SCAN was carried out for a PBEsol-optimized structure of La2AgPt.

a = 5.1746 Å, b = 5.1746 Å, c = 3.6670 Å
α = 90.00°, β = 90.00°, γ = 90.00°
Atoms (fractional coordinates):
La 0.0000 0.5000 0.0000
La 0.5000 0.0000 0.0000
Ag 0.0000 0.0000 0.5000
Pt 0.5000 0.5000 0.5000

## Properties
Volume = 98.2 Å³ per cell
Calculated formation energy = -0.78 eV per atom

[15]
A plane-wave DFT calculation with SCAN was carried out for a PBEsol-optimized structure of La2AgPt.

a = 3.6521 Å, b = 3.6521 Å, c = 7.4385 Å
α = 90.00°, β = 90.00°, γ = 90.00°
Atoms (fractional coordinates):
La 0.0000 0.0000 0.2305
La 0.0000 0.0000 0.7695
Ag 0.5000 0.5000 0.5000
Pt 0.5000 0.5000 0.0000

## Properties
Volume = 99.2 Å³ per cell
Calculated formation energy = -0.80 eV per atom

[16]
A plane-wave DFT calculation with SCAN was carried out for a PBEsol-optimized structure of La2AgPt.

a = 4.2100 Å, b = 4.2100 Å, c = 21.8525 Å
α = 90.00°, β = 90.00°, γ = 120.00°
Atoms (fractional coordinates):
La 0.0000 0.0000 0.2416
La 0.0000 0.0000 0.7584
La 0.3333 0.6667 0.4251
La 0.3333 0.6667 0.9083
La 0.6667 0.3333 0.0917
La 0.6667 0.3333 0.5749
Ag 0.0000 0.0000 0.0000
Ag 0.3333 0.6667 0.6667
Ag 0.6667 0.3333 0.3333
Pt 0.0000 0.0000 0.5000
Pt 0.3333 0.6667 0.1667
Pt 0.6667 0.3333 0.8333

## Properties
Volume = 335.4 Å³ per cell
Calculated formation energy = -0.81 eV per atom

[17]
A plane-wave DFT calculation with SCAN was carried out for a PBEsol-optimized structure of LaAg3Pt.

a = 5.2407 Å, b = 5.2407 Å, c = 5.2407 Å
α = 90.00°, β = 90.00°, γ = 90.00°
Atoms (fractional coordinates):
La 0.0000 0.0000 0.0000
Ag 0.0000 0.0000 0.5000
Ag 0.0000 0.5000 0.0000
Ag 0.5000 0.0000 0.0000
Pt 0.5000 0.5000 0.5000

## Properties
Volume = 143.9 Å³ per cell
Calculated formation energy = 1.68 eV per atom

[18]
A plane-wave DFT calculation with SCAN was carried out for a PBEsol-optimized structure of La2AgPt.

a = 4.6373 Å, b = 3.9853 Å, c = 11.0896 Å
α = 90.00°, β = 90.00°, γ = 90.00°
Atoms (fractional coordinates):
La 0.0000 0.0000 0.0000
La 0.0000 0.5000 0.5000
La 0.5000 0.0000 0.2740
La 0.5000 0.5000 0.7740
Ag 0.0000 0.0000 0.7165
Ag 0.0000 0.5000 0.2165
Pt 0.5000 0.0000 0.5490
Pt 0.5000 0.5000 0.0490

## Properties
Volume = 204.9 Å³ per cell
Calculated formation energy = -0.84 eV per atom

[19]
A plane-wave DFT calculation with SCAN was carried out for a PBEsol-optimized structure of RbLa2AgS.

a = 5.8093 Å, b = 5.8093 Å, c = 5.1185 Å
α = 90.00°, β = 90.00°, γ = 90.00°
Atoms (fractional coordinates):
Rb 0.0000 0.0000 0.0000
La 0.0000 0.5000 0.5000
La 0.5000 0.0000 0.5000
Ag 0.5000 0.5000 0.5000
S 0.5000 0.5000 0.0000

## Properties
Volume = 172.7 Å³ per cell
Energy relative to the elements, uncorrected = 200 meV/atom

[20]
A plane-wave DFT calculation with SCAN was carried out for a PBEsol-optimized structure of LaReAg2.

a = 9.8628 Å, b = 2.8507 Å, c = 5.4921 Å
α = 90.00°, β = 97.90°, γ = 90.00°
Atoms (fractional coordinates):
La 0.0000 0.0000 0.0000
La 0.5000 0.5000 0.0000
Re 0.2557 0.5000 0.2584
Re 0.7557 0.0000 0.2584
Ag 0.2400 0.0000 0.7041
Ag 0.4955 0.0000 0.4896
Ag 0.7400 0.5000 0.7041
Ag 0.9955 0.5000 0.4896

## Properties
Volume = 152.9 Å³ per cell
Calculated formation energy = 0.57 eV per atom
Polymorph energy (0 for the lowest one) = 0.019 eV per atom

[21]
A plane-wave DFT calculation with SCAN was carried out for a PBEsol-optimized structure of LaReAg3.

a = 5.3264 Å, b = 5.3264 Å, c = 5.3264 Å
α = 90.00°, β = 90.00°, γ = 90.00°
Atoms (fractional coordinates):
La 0.0000 0.0000 0.0000
Re 0.5000 0.5000 0.5000
Ag 0.0000 0.0000 0.5000
Ag 0.0000 0.5000 0.0000
Ag 0.5000 0.0000 0.0000

## Properties
Volume = 151.1 Å³ per cell
Calculated formation energy = 2.19 eV per atom

[22]
A plane-wave DFT calculation with SCAN was carried out for a PBEsol-optimized structure of LaRe2Ag.

a = 3.0042 Å, b = 5.0252 Å, c = 4.9082 Å
α = 90.00°, β = 92.11°, γ = 90.00°
Atoms (fractional coordinates):
La 0.0000 0.0000 0.0000
Re 0.3142 0.5000 0.7621
Re 0.6858 0.5000 0.2379
Ag 0.5000 0.0000 0.5000

## Properties
Volume = 74.0 Å³ per cell
Calculated formation energy = 0.75 eV per atom
Polymorph energy (0 for the lowest one) = 0.007 eV per atom

[23]
A plane-wave DFT calculation with SCAN was carried out for a PBEsol-optimized structure of LaReAg.

a = 4.9860 Å, b = 4.9860 Å, c = 2.8078 Å
α = 90.00°, β = 90.00°, γ = 120.00°
Atoms (fractional coordinates):
La 0.0000 0.0000 0.0000
Re 0.3333 0.6667 0.4978
Ag 0.6667 0.3333 0.5028

## Properties
Volume = 60.5 Å³ per cell
Calculated formation energy = 0.65 eV per atom

[24]
A plane-wave DFT calculation with SCAN was carried out for a PBEsol-optimized structure of LaReAg2.

a = 2.8556 Å, b = 4.5703 Å, c = 5.7886 Å
α = 90.00°, β = 90.00°, γ = 90.00°
Atoms (fractional coordinates):
La 0.0000 0.0000 0.0000
Re 0.0000 0.0000 0.5000
Ag 0.5000 0.5000 0.2756
Ag 0.5000 0.5000 0.7244

## Properties
Volume = 75.5 Å³ per cell
Calculated formation energy = 0.55 eV per atom
Polymorph energy (0 for the lowest one) = 0.000 eV per atom

[25]
A plane-wave DFT calculation with SCAN was carried out for a PBEsol-optimized structure of LaRe2Ag.

a = 3.1631 Å, b = 4.6786 Å, c = 4.9589 Å
α = 90.00°, β = 90.00°, γ = 90.00°
Atoms (fractional coordinates):
La 0.0000 0.0000 0.0000
Re 0.0000 0.5000 0.5000
Re 0.5000 0.0000 0.5000
Ag 0.5000 0.5000 0.0000

## Properties
Volume = 73.4 Å³ per cell
Calculated formation energy = 0.75 eV per atom
Polymorph energy (0 for the lowest one) = 0.000 eV per atom

[26]
A plane-wave DFT calculation with SCAN was carried out for a PBEsol-optimized structure of LaAgRh2.

a = 4.2807 Å, b = 4.2807 Å, c = 3.8714 Å
α = 90.00°, β = 90.00°, γ = 90.00°
Atoms (fractional coordinates):
La 0.0000 0.0000 0.0000
Ag 0.5000 0.5000 0.0000
Rh 0.0000 0.5000 0.5000
Rh 0.5000 0.0000 0.5000

## Properties
Volume = 70.9 Å³ per cell
Calculated formation energy = -0.33 eV per atom

[27]
A plane-wave DFT calculation with SCAN was carried out for a PBEsol-optimized structure of LaAg2Rh.

a = 2.9435 Å, b = 2.9435 Å, c = 29.9988 Å
α = 90.00°, β = 90.00°, γ = 120.00°
Atoms (fractional coordinates):
La 0.0000 0.0000 0.0000
La 0.3333 0.6667 0.6667
La 0.6667 0.3333 0.3333
Ag 0.0000 0.0000 0.2396
Ag 0.0000 0.0000 0.7604
Ag 0.3333 0.6667 0.4271
Ag 0.3333 0.6667 0.9063
Ag 0.6667 0.3333 0.0937
Ag 0.6667 0.3333 0.5729
Rh 0.0000 0.0000 0.5000
Rh 0.3333 0.6667 0.1667
Rh 0.6667 0.3333 0.8333

## Properties
Volume = 225.1 Å³ per cell
Calculated formation energy = 0.36 eV per atom
Polymorph energy (0 for the lowest one) = 0.749 eV per atom

[28]
A plane-wave DFT calculation with SCAN was carried out for a PBEsol-optimized structure of LaAg2Rh.

a = 3.9849 Å, b = 3.9849 Å, c = 9.5972 Å
α = 90.00°, β = 90.00°, γ = 90.00°
Atoms (fractional coordinates):
La 0.0000 0.0000 0.0000
La 0.5000 0.5000 0.5000
Ag 0.0000 0.5000 0.2500
Ag 0.0000 0.5000 0.7500
Ag 0.5000 0.0000 0.2500
Ag 0.5000 0.0000 0.7500
Rh 0.0000 0.0000 0.5000
Rh 0.5000 0.5000 0.0000

## Properties
Volume = 152.4 Å³ per cell
Calculated formation energy = -0.39 eV per atom
Polymorph energy (0 for the lowest one) = 0.000 eV per atom

[29]
A plane-wave DFT calculation with SCAN was carried out for a PBEsol-optimized structure of LaAgRh2.

a = 3.5780 Å, b = 3.5780 Å, c = 5.7365 Å
α = 90.00°, β = 90.00°, γ = 90.00°
Atoms (fractional coordinates):
La 0.0000 0.0000 0.0000
Ag 0.5000 0.5000 0.6769
Rh 0.0000 0.0000 0.4598
Rh 0.5000 0.5000 0.2131

## Properties
Volume = 73.4 Å³ per cell
Calculated formation energy = -0.07 eV per atom

[30]
A plane-wave DFT calculation with SCAN was carried out for a PBEsol-optimized structure of LaAgRh2.

a = 3.9838 Å, b = 4.2003 Å, c = 5.1352 Å
α = 66.47°, β = 67.25°, γ = 90.00°
Atoms (fractional coordinates):
La 0.0000 0.0000 0.0000
Ag 0.2440 0.7290 0.5148
Rh 0.4878 0.4954 0.0246
Rh 0.7470 0.2240 0.5091

## Properties
Volume = 71.4 Å³ per cell
Calculated formation energy = -0.22 eV per atom